# 1
Density functional theory data (PBE) for a geometry-optimized AsPd3 structure.

Summary:
Calculated formation energy (meV/atom): -356
Total magnetization (μB/atom): 0.000

Unit cell a=10.1168 b=10.1168 c=4.9142 alpha=90.00 beta=90.00 gamma=90.00
Space group I-4 (No. 82)
Inequivalent atoms, fractional coordinates:
As1 0.0444 0.2831 0.0201 (multiplicity 8)
Pd1 0.0316 0.3645 0.5228 (multiplicity 8)
Pd2 0.0768 0.8880 0.7392 (multiplicity 8)
Pd3 0.1726 0.7799 0.2548 (multiplicity 8)



# 2
Density functional theory data (PBE) for a geometry-optimized As2Pd3 structure.

Summary:
Calculated formation energy (meV/atom): -352
Energy relative to the lowest polymorph listed for this composition (kJ/mol of atoms): 0.0
Total magnetization (μB/atom): 0.000

Unit cell a=6.3528 b=10.3878 c=5.1803 alpha=90.00 beta=90.00 gamma=90.00
Space group Ibam (No. 72)
Inequivalent atoms, fractional coordinates:
As1 0.2424 0.1501 0.0000 (multiplicity 8)
Pd1 0.0000 0.0000 0.2500 (multiplicity 4)
Pd2 0.1285 0.3881 0.0000 (multiplicity 8)



# 3
Density functional theory data (PBE) for a geometry-optimized AsPd2 structure.

Summary:
Calculated formation energy (meV/atom): -362
Total magnetization (μB/atom): 0.000

Unit cell a=6.9768 b=3.2553 c=8.4184 alpha=90.00 beta=90.00 gamma=90.00
Space group Pnma (No. 62)
Inequivalent atoms, fractional coordinates:
As1 0.2486 0.2500 0.1175 (multiplicity 4)
Pd1 0.0406 0.2500 0.8590 (multiplicity 4)
Pd2 0.1183 0.2500 0.3968 (multiplicity 4)



# 4
Density functional theory data (PBE) for a geometry-optimized AsPd4 structure.

Summary:
Calculated formation energy (meV/atom): 306
Energy relative to the lowest polymorph listed for this composition (kJ/mol of atoms): 57.0
Total magnetization (μB/atom): 0.000

Unit cell a=4.6086 b=4.6086 c=4.6086 alpha=90.00 beta=90.00 gamma=90.00
Space group Pm-3m (No. 221)
Inequivalent atoms, fractional coordinates:
As1 0.0000 0.0000 0.0000 (multiplicity 1)
Pd1 0.0000 0.0000 0.5000 (multiplicity 3)
Pd2 0.5000 0.5000 0.5000 (multiplicity 1)



# 5
Density functional theory data (PBE) for a geometry-optimized As2Pd3 structure.

Summary:
Calculated formation energy (meV/atom): -292
Energy relative to the lowest polymorph listed for this composition (kJ/mol of atoms): 5.8
Total magnetization (μB/atom): 0.000

Unit cell a=6.6495 b=6.6495 c=13.5790 alpha=90.00 beta=90.00 gamma=120.00
Space group R-3c (No. 167, hexagonal axes)
Inequivalent atoms, fractional coordinates:
As1 0.0000 0.0000 0.1059 (multiplicity 12)
Pd1 0.0000 0.2544 0.2500 (multiplicity 18)



# 6
Density functional theory data (PBE) for a geometry-optimized Pm2AsPd structure.

Summary:
Calculated formation energy (meV/atom): -939
Energy relative to the lowest polymorph listed for this composition (kJ/mol of atoms): 6.8
Total magnetization (μB/atom): 0.000

Unit cell a=3.6583 b=3.6583 c=7.1314 alpha=90.00 beta=90.00 gamma=90.00
Space group P4/mmm (No. 123)
Inequivalent atoms, fractional coordinates:
Pm1 0.0000 0.0000 0.2448 (multiplicity 2)
As1 0.5000 0.5000 0.0000 (multiplicity 1)
Pd1 0.5000 0.5000 0.5000 (multiplicity 1)



# 7
Density functional theory data (PBE) for a geometry-optimized Pm3As6Pd20 structure.

Summary:
Calculated formation energy (meV/atom): -595
Total magnetization (μB/atom): 0.000

Unit cell a=12.6278 b=12.6278 c=12.6278 alpha=90.00 beta=90.00 gamma=90.00
Space group Fm-3m (No. 225)
Inequivalent atoms, fractional coordinates:
Pm1 0.0000 0.0000 0.0000 (multiplicity 4)
Pm2 0.2500 0.2500 0.2500 (multiplicity 8)
As1 0.0000 0.0000 0.2638 (multiplicity 24)
Pd1 0.0000 0.1747 0.1747 (multiplicity 48)
Pd2 0.1165 0.1165 0.3835 (multiplicity 32)



# 8
Density functional theory data (PBE) for a geometry-optimized Pm2AsPd structure.

Summary:
Calculated formation energy (meV/atom): -990
Energy relative to the lowest polymorph listed for this composition (kJ/mol of atoms): 1.8
Total magnetization (μB/atom): 0.000

Unit cell a=4.1408 b=4.1408 c=21.6703 alpha=90.00 beta=90.00 gamma=120.00
Space group R3m (No. 160, hexagonal axes)
Inequivalent atoms, fractional coordinates:
Pm1 0.0000 0.0000 0.0000 (multiplicity 3)
Pm2 0.0000 0.0000 0.1725 (multiplicity 3)
As1 0.0000 0.0000 0.5852 (multiplicity 3)
Pd1 0.0000 0.0000 0.4203 (multiplicity 3)